Entry 1:
# CsTmFe2Br8 | Alexandria via LeMat-Bulk | PBE | relaxed
# Formation energy from raw total energies, meV per atom: -1095.0
# Volume, Å³/f.u.: 456.2
# Energy, eV per formula unit: -48.8
# Theoretical density, g/cm3: 3.8
data_CsTmFe2Br8
_space_group_name_H-M_alt 'C 1 2/m 1'
_space_group_IT_number 12
_cell_length_a 11.313
_cell_length_b 7.713
_cell_length_c 10.541
_cell_angle_alpha 90.00
_cell_angle_beta 97.34
_cell_angle_gamma 90.00
loop_
_space_group_symop_operation_xyz
'x,y,z'
'-x,-y,-z'
'-x,y,-z'
'x,-y,z'
'x+1/2,y+1/2,z'
'-x+1/2,-y+1/2,-z'
'-x+1/2,y+1/2,-z'
'x+1/2,-y+1/2,z'
loop_
_atom_site_label
_atom_site_fract_x
_atom_site_fract_y
_atom_site_fract_z
Cs1 0.000 0.000 0.000
Tm1 0.000 0.000 0.500
Fe1 0.118 0.500 0.297
Br1 0.020 0.249 0.694
Br2 0.184 0.500 0.093
Br3 0.245 0.000 0.503

***

Entry 2:
# CsVFeBr6 | Alexandria via LeMat-Bulk | PBE | relaxed
# Formation energy from raw total energies, meV per atom: -811.5
# Volume, Å³/f.u.: 309.1
# Energy, eV per formula unit: -35.8
# Theoretical density, g/cm3: 3.9
data_CsVFeBr6
_space_group_name_H-M_alt 'P 3 1 2'
_space_group_IT_number 149
_cell_length_a 6.5692
_cell_length_b 6.5692
_cell_length_c 8.2700
_cell_angle_alpha 90.00
_cell_angle_beta 90.00
_cell_angle_gamma 120.00
loop_
_space_group_symop_operation_xyz
'x,y,z'
'-y,x-y,z'
'-x+y,-x,z'
'-y,-x,-z'
'-x+y,y,-z'
'x,x-y,-z'
loop_
_atom_site_label
_atom_site_fract_x
_atom_site_fract_y
_atom_site_fract_z
Cs1 0.0000 0.0000 0.0000
V1 0.3333 0.6667 0.5000
Fe1 0.6667 0.3333 0.5000
Br1 0.3742 0.0127 0.3283

***

What is the formula in the first record?
CsTmFe2Br8